# NiTe2Os

A relaxed structure of NiTe2Os (PBEsol, Alexandria).

CIF file:
```
data_NiTe2Os
_symmetry_space_group_name_H-M 'P 1'
_symmetry_Int_Tables_number 1
_symmetry_space_group_name_Hall 'P 1'
_cell_length_a 3.202
_cell_length_b 4.673
_cell_length_c 4.673
_cell_angle_alpha 90.00
_cell_angle_beta 90.00
_cell_angle_gamma 90.00
loop_
_atom_site_label
_atom_site_type_symbol
_atom_site_fract_x
_atom_site_fract_y
_atom_site_fract_z
_atom_site_occupancy
Te1 Te 0.000 0.000 0.500 1
Te2 Te 0.000 0.500 0.000 1
Ni1 Ni 0.500 0.500 0.500 1
Os1 Os 0.500 0.000 0.000 1
```

calculated volume	17.48	A^3/atom
crystal system	tetragonal
calculated total energy	-23.1	eV per cell
formation energy without anion corrections	0.5741	eV per atom
calculated density	12.0	g/cm3

---

# TlNi2Os

A relaxed structure of TlNi2Os (PBEsol, Alexandria).

CIF file:
```
data_TlNi2Os
_symmetry_space_group_name_H-M 'P 1'
_symmetry_Int_Tables_number 1
_symmetry_space_group_name_Hall 'P 1'
_cell_length_a 2.801
_cell_length_b 2.801
_cell_length_c 8.559
_cell_angle_alpha 80.58
_cell_angle_beta 80.58
_cell_angle_gamma 60.00
loop_
_atom_site_label
_atom_site_type_symbol
_atom_site_fract_x
_atom_site_fract_y
_atom_site_fract_z
_atom_site_occupancy
Ni1 Ni 0.756 0.756 0.733 1
Ni2 Ni 0.244 0.244 0.267 1
Tl1 Tl 0.000 0.000 0.000 1
Os1 Os 0.500 0.500 0.500 1
```

energy of formation from the pure elements	0.50	eV/atom
calculated volume	14.27	A^3/atom
crystal system	trigonal
polymorph energy (0 for the lowest one)	0.045	eV/atom
calculated total energy	-25.2	eV per cell
calculated density	14.9	g/cm3